# 1
# ScCr | Alexandria via LeMat-Bulk | PBE | relaxed
# crystal system = tetragonal
# ΔE_f = 0.57 eV per atom
data_ScCr
_cell_length_a 3.848
_cell_length_b 3.848
_cell_length_c 4.435
_cell_angle_alpha 90.00
_cell_angle_beta 90.00
_cell_angle_gamma 90.00
_symmetry_space_group_name_H-M 'P 4/n m m'
_symmetry_Int_Tables_number 129
loop_
_symmetry_equiv_pos_as_xyz
'x,y,z'
'-x,-y,-z'
'-y+1/2,x,z'
'y+1/2,-x,-z'
'-x+1/2,-y+1/2,z'
'x+1/2,y+1/2,-z'
'y,-x+1/2,z'
'-y,x+1/2,-z'
'x+1/2,-y,-z'
'-x+1/2,y,z'
'-y,-x,-z'
'y,x,z'
'-x,y+1/2,-z'
'x,-y+1/2,z'
'y+1/2,x+1/2,-z'
'-y+1/2,-x+1/2,z'
loop_
_atom_site_label
_atom_site_type_symbol
_atom_site_fract_x
_atom_site_fract_y
_atom_site_fract_z
Sc1 Sc 0.250 0.250 0.002
Cr1 Cr 0.250 0.750 0.500

---

# 2
# Sc2Cr | Alexandria via LeMat-Bulk | PBE | relaxed
# crystal system = hexagonal
# ΔE_f = 0.20 eV per atom
data_Sc2Cr
_cell_length_a 8.0600
_cell_length_b 8.0600
_cell_length_c 3.2738
_cell_angle_alpha 90.00
_cell_angle_beta 90.00
_cell_angle_gamma 120.00
_symmetry_space_group_name_H-M 'P -6 2 m'
_symmetry_Int_Tables_number 189
_symmetry_space_group_name_Hall 'P -6 -2'
loop_
_atom_site_label
_atom_site_type_symbol
_atom_site_fract_x
_atom_site_fract_y
_atom_site_fract_z
Sc1 Sc 0.0000 0.2746 0.0000
Sc2 Sc 0.0000 0.6123 0.5000
Cr1 Cr 0.0000 0.0000 0.5000
Cr2 Cr 0.3333 0.6667 0.0000

---

# 3
# ScCr5 | Alexandria via LeMat-Bulk | PBE | relaxed
# crystal system = orthorhombic
# ΔE_f = 0.22 eV per atom
# excess energy over the best structure of this formula in the dataset = 61.8 meV per atom
data_ScCr5
_cell_length_a 2.924
_cell_length_b 12.304
_cell_length_c 4.317
_cell_angle_alpha 90.00
_cell_angle_beta 90.00
_cell_angle_gamma 90.00
_symmetry_space_group_name_H-M 'C m m m'
_symmetry_Int_Tables_number 65
_symmetry_space_group_name_Hall '-C 2 2'
loop_
_atom_site_label
_atom_site_type_symbol
_atom_site_fract_x
_atom_site_fract_y
_atom_site_fract_z
Sc1 Sc 0.000 0.000 0.000
Cr1 Cr 0.000 0.167 0.500
Cr2 Cr 0.000 0.319 0.000
Cr3 Cr 0.000 0.500 0.500

---

# 4
# Sc4Cr3 | Alexandria via LeMat-Bulk | PBE | relaxed
# crystal system = hexagonal
# ΔE_f = 0.31 eV per atom
data_Sc4Cr3
_cell_length_a 4.9583
_cell_length_b 4.9583
_cell_length_c 5.8442
_cell_angle_alpha 90.00
_cell_angle_beta 90.00
_cell_angle_gamma 120.00
_symmetry_space_group_name_H-M 'P 6/m m m'
_symmetry_Int_Tables_number 191
_symmetry_space_group_name_Hall '-P 6 2'
loop_
_atom_site_label
_atom_site_type_symbol
_atom_site_fract_x
_atom_site_fract_y
_atom_site_fract_z
Sc1 Sc 0.0000 0.0000 0.2457
Sc2 Sc 0.3333 0.6667 0.5000
Cr1 Cr 0.0000 0.5000 0.0000

---

# 5
# ScCr8 | Alexandria via LeMat-Bulk | PBE | relaxed
# crystal system = tetragonal
# ΔE_f = 0.32 eV per atom
data_ScCr8
_cell_length_a 7.258
_cell_length_b 7.258
_cell_length_c 4.348
_cell_angle_alpha 90.00
_cell_angle_beta 90.00
_cell_angle_gamma 90.00
_symmetry_space_group_name_H-M 'I 4/m m m'
_symmetry_Int_Tables_number 139
_symmetry_space_group_name_Hall '-I 4 2'
loop_
_atom_site_label
_atom_site_type_symbol
_atom_site_fract_x
_atom_site_fract_y
_atom_site_fract_z
Sc1 Sc 0.000 0.000 0.000
Cr1 Cr 0.000 0.349 0.000
Cr2 Cr 0.176 0.176 0.500

---

# 6
# ScCr4 | Alexandria via LeMat-Bulk | PBE | relaxed
# crystal system = cubic
# ΔE_f = 1.78 eV per atom
# excess energy over the best structure of this formula in the dataset = 1537.3 meV per atom
data_ScCr4
_cell_length_a 4.553
_cell_length_b 4.553
_cell_length_c 4.553
_cell_angle_alpha 90.00
_cell_angle_beta 90.00
_cell_angle_gamma 90.00
_symmetry_space_group_name_H-M 'P m -3 m'
_symmetry_Int_Tables_number 221
_symmetry_space_group_name_Hall '-P 4 2 3'
loop_
_atom_site_label
_atom_site_type_symbol
_atom_site_fract_x
_atom_site_fract_y
_atom_site_fract_z
Sc1 Sc 0.000 0.000 0.000
Cr1 Cr 0.000 0.000 0.500
Cr2 Cr 0.500 0.500 0.500

---

# 7
# ScCr5 | Alexandria via LeMat-Bulk | PBE | relaxed
# crystal system = monoclinic
# ΔE_f = 0.21 eV per atom
# excess energy over the best structure of this formula in the dataset = 48.8 meV per atom
data_ScCr5
_cell_length_a 9.463
_cell_length_b 2.918
_cell_length_c 5.926
_cell_angle_alpha 90.00
_cell_angle_beta 108.67
_cell_angle_gamma 90.00
_symmetry_space_group_name_H-M 'C 1 2/m 1'
_symmetry_Int_Tables_number 12
loop_
_symmetry_equiv_pos_as_xyz
'x,y,z'
'-x,-y,-z'
'-x,y,-z'
'x,-y,z'
'x+1/2,y+1/2,z'
'-x+1/2,-y+1/2,-z'
'-x+1/2,y+1/2,-z'
'x+1/2,-y+1/2,z'
loop_
_atom_site_label
_atom_site_type_symbol
_atom_site_fract_x
_atom_site_fract_y
_atom_site_fract_z
Sc1 Sc 0.000 0.000 0.000
Cr1 Cr 0.000 0.000 0.500
Cr2 Cr 0.175 0.500 0.823
Cr3 Cr 0.179 0.500 0.352

---

# 8
# ScCr | Alexandria via LeMat-Bulk | PBE | relaxed
# crystal system = hexagonal
# ΔE_f = 0.52 eV per atom
data_ScCr
_cell_length_a 3.0678
_cell_length_b 3.0678
_cell_length_c 8.8915
_cell_angle_alpha 90.00
_cell_angle_beta 90.00
_cell_angle_gamma 120.00
_symmetry_space_group_name_H-M 'P 63/m m c'
_symmetry_Int_Tables_number 194
_symmetry_space_group_name_Hall '-P 6c 2c'
loop_
_atom_site_label
_atom_site_type_symbol
_atom_site_fract_x
_atom_site_fract_y
_atom_site_fract_z
Sc1 Sc 0.0000 0.0000 0.0000
Cr1 Cr 0.3333 0.6667 0.2500

---

# 9
# ScCr | Alexandria via LeMat-Bulk | PBE | relaxed
# crystal system = tetragonal
# ΔE_f = 0.45 eV per atom
data_ScCr
_cell_length_a 4.020
_cell_length_b 4.020
_cell_length_c 9.373
_cell_angle_alpha 90.00
_cell_angle_beta 90.00
_cell_angle_gamma 90.00
_symmetry_space_group_name_H-M 'I 41/a m d'
_symmetry_Int_Tables_number 141
loop_
_symmetry_equiv_pos_as_xyz
'x,y,z'
'-x,-y,-z'
'-y+1/4,x+3/4,z+1/4'
'y+1/4,-x+3/4,-z+1/4'
'-x+1/2,-y,z+1/2'
'x+1/2,y,-z+1/2'
'y+1/4,-x+1/4,z+3/4'
'-y+1/4,x+1/4,-z+3/4'
'x,-y,-z'
'-x,y,z'
'-y+1/4,-x+1/4,-z+3/4'
'y+1/4,x+1/4,z+3/4'
'-x+1/2,y,-z+1/2'
'x+1/2,-y,z+1/2'
'y+1/4,x+3/4,-z+1/4'
'-y+1/4,-x+3/4,z+1/4'
'x+1/2,y+1/2,z+1/2'
'-x+1/2,-y+1/2,-z+1/2'
'-y+3/4,x+1/4,z+3/4'
'y+3/4,-x+1/4,-z+3/4'
'-x,-y+1/2,z'
'x,y+1/2,-z'
'y+3/4,-x+3/4,z+1/4'
'-y+3/4,x+3/4,-z+1/4'
'x+1/2,-y+1/2,-z+1/2'
'-x+1/2,y+1/2,z+1/2'
'-y+3/4,-x+3/4,-z+1/4'
'y+3/4,x+3/4,z+1/4'
'-x,y+1/2,-z'
'x,-y+1/2,z'
'y+3/4,x+1/4,-z+3/4'
'-y+3/4,-x+1/4,z+3/4'
loop_
_atom_site_label
_atom_site_type_symbol
_atom_site_fract_x
_atom_site_fract_y
_atom_site_fract_z
Sc1 Sc 0.000 0.250 0.375
Cr1 Cr 0.000 0.250 0.875

---

# 10
# ScCr | Alexandria via LeMat-Bulk | PBE | relaxed
# crystal system = orthorhombic
# ΔE_f = 0.23 eV per atom
data_ScCr
_cell_length_a 5.266
_cell_length_b 5.397
_cell_length_c 10.030
_cell_angle_alpha 90.00
_cell_angle_beta 90.00
_cell_angle_gamma 90.00
_symmetry_space_group_name_H-M 'P 21 21 21'
_symmetry_Int_Tables_number 19
loop_
_symmetry_equiv_pos_as_xyz
'x,y,z'
'-x+1/2,-y,z+1/2'
'x+1/2,-y+1/2,-z'
'-x,y+1/2,-z+1/2'
loop_
_atom_site_label
_atom_site_type_symbol
_atom_site_fract_x
_atom_site_fract_y
_atom_site_fract_z
Sc1 Sc 0.112 0.094 0.488
Sc2 Sc 0.113 0.642 0.684
Cr1 Cr 0.091 0.609 0.400
Cr2 Cr 0.098 0.860 0.231

---

# 11
# Sc2Cr | Alexandria via LeMat-Bulk | PBE | relaxed
# crystal system = trigonal
# ΔE_f = 0.38 eV per atom
data_Sc2Cr
_cell_length_a 3.1290
_cell_length_b 3.1290
_cell_length_c 7.1756
_cell_angle_alpha 90.00
_cell_angle_beta 90.00
_cell_angle_gamma 120.00
_symmetry_space_group_name_H-M 'P -3 m 1'
_symmetry_Int_Tables_number 164
_symmetry_space_group_name_Hall '-P 3 2"'
loop_
_atom_site_label
_atom_site_type_symbol
_atom_site_fract_x
_atom_site_fract_y
_atom_site_fract_z
Sc1 Sc 0.3333 0.6667 0.2994
Cr1 Cr 0.0000 0.0000 0.0000

---

# 12
# Sc2Cr | Alexandria via LeMat-Bulk | PBE | relaxed
# crystal system = tetragonal
# ΔE_f = 0.23 eV per atom
data_Sc2Cr
_cell_length_a 7.288
_cell_length_b 7.288
_cell_length_c 4.513
_cell_angle_alpha 90.00
_cell_angle_beta 90.00
_cell_angle_gamma 90.00
_symmetry_space_group_name_H-M 'I 4/m c m'
_symmetry_Int_Tables_number 140
_symmetry_space_group_name_Hall '-I 4 2c'
loop_
_atom_site_label
_atom_site_type_symbol
_atom_site_fract_x
_atom_site_fract_y
_atom_site_fract_z
Sc1 Sc 0.155 0.345 0.000
Cr1 Cr 0.000 0.000 0.250

---

# 13
# ScCr | Alexandria via LeMat-Bulk | PBE | relaxed
# crystal system = orthorhombic
# ΔE_f = 0.51 eV per atom
data_ScCr
_cell_length_a 3.013
_cell_length_b 10.796
_cell_length_c 4.687
_cell_angle_alpha 90.00
_cell_angle_beta 90.00
_cell_angle_gamma 90.00
_symmetry_space_group_name_H-M 'C m c m'
_symmetry_Int_Tables_number 63
_symmetry_space_group_name_Hall '-C 2c 2'
loop_
_atom_site_label
_atom_site_type_symbol
_atom_site_fract_x
_atom_site_fract_y
_atom_site_fract_z
Sc1 Sc 0.000 0.086 0.250
Cr1 Cr 0.000 0.339 0.250